Entry 1:
Material: PrUGa2
Method: DFT, GGA-PBE
State: relaxed

The structure in extended XYZ format:
```
4
Lattice="-1.968 0.502 2.366 -2.971 -0.919 -0.222 1.147 -10.250 5.185" Properties=species:S:1:pos:R:3 pbc="T T T"
U -1.897 -5.334 3.664
Ga -4.179 -3.172 3.362
Ga 0.386 -7.495 3.967
Pr 0.000 0.000 0.000
```

Values from the calculation:
SG: No. 166
Calculated formation energy (eV/atom): 0.25
Total moment (μB per atom): 0.46



Entry 2:
Material: PrUGa
Method: DFT, GGA-PBE
State: relaxed

The structure in extended XYZ format:
```
12
Lattice="-0.079 2.235 -2.973 -4.559 -3.293 -2.354 -9.180 8.154 6.373" Properties=species:S:1:pos:R:3 pbc="T T T"
Ga -6.771 3.314 -0.821
Ga -12.830 6.331 1.608
Ga -7.047 3.783 1.867
Ga -0.988 0.766 -0.562
U -3.124 -0.985 -1.822
U -9.211 2.010 0.592
U -4.607 5.086 0.454
U -10.694 8.082 2.867
Pr -3.498 2.393 -1.600
Pr -10.320 4.703 2.645
Pr -6.353 0.176 -0.863
Pr -7.465 6.920 1.908
```

Values from the calculation:
SG: No. 62
Calculated formation energy (eV/atom): -0.01
Total moment (μB per atom): 0.00



Look up the calculated formation energy of the second one. -0.01 eV/atom



What is the formula in the second record? PrUGa



Which formula does entry 1 have? PrUGa2



The highest calculated formation energy belongs to which entry? PrUGa2